No. 1
# SCAN AlAs8, PBEsol geometry
# Magnetic moment   0.0 Bohr magnetons per cell
# DFT total energy   -18.4721 eV/atom
# Formation energy from the elements   0.34 eV per atom
# Space group   I4/mmm, No. 139
data_AlAs8
_cell_length_a 3.458
_cell_length_b 7.259
_cell_length_c 7.259
_cell_angle_alpha 86.75
_cell_angle_beta 76.22
_cell_angle_gamma 76.22
_symmetry_space_group_name_H-M 'P 1'
_symmetry_Int_Tables_number 1
_symmetry_space_group_name_Hall 'P 1'
loop_
_atom_site_label
_atom_site_type_symbol
_atom_site_fract_x
_atom_site_fract_y
_atom_site_fract_z
As1 As 0.360 0.000 0.281
As2 As 0.000 0.347 0.653
As3 As 0.000 0.653 0.347
As4 As 0.653 0.347 0.347
As5 As 0.640 0.719 0.000
As6 As 0.640 0.000 0.719
As7 As 0.347 0.653 0.653
As8 As 0.360 0.281 0.000
Al1 Al 0.000 0.000 0.000

***

No. 2
# SCAN Al4As, PBEsol geometry
# Magnetic moment   0.0 Bohr magnetons per cell
# DFT total energy   -9.9938 eV/atom
# Formation energy from the elements   0.25 eV per atom
# Space group   I4/mmm, No. 139
data_Al4As
_cell_length_a 3.726
_cell_length_b 3.726
_cell_length_c 7.119
_cell_angle_alpha 105.17
_cell_angle_beta 105.17
_cell_angle_gamma 90.00
_symmetry_space_group_name_H-M 'P 1'
_symmetry_Int_Tables_number 1
_symmetry_space_group_name_Hall 'P 1'
loop_
_atom_site_label
_atom_site_type_symbol
_atom_site_fract_x
_atom_site_fract_y
_atom_site_fract_z
Al1 Al 0.403 0.403 0.805
Al2 Al 0.597 0.597 0.195
Al3 Al 0.750 0.250 0.500
Al4 Al 0.250 0.750 0.500
As1 As 0.000 0.000 0.000

***

No. 3
# SCAN AlAs2, PBEsol geometry
# Magnetic moment   0.0 Bohr magnetons per cell
# DFT total energy   -15.9630 eV/atom
# Formation energy from the elements   0.08 eV per atom
# Space group   P-3m1, No. 164
data_AlAs2
_cell_length_a 3.071
_cell_length_b 3.071
_cell_length_c 7.157
_cell_angle_alpha 90.00
_cell_angle_beta 90.00
_cell_angle_gamma 120.00
_symmetry_space_group_name_H-M 'P 1'
_symmetry_Int_Tables_number 1
_symmetry_space_group_name_Hall 'P 1'
loop_
_atom_site_label
_atom_site_type_symbol
_atom_site_fract_x
_atom_site_fract_y
_atom_site_fract_z
Al1 Al 0.000 0.000 0.000
As1 As 0.333 0.667 0.272
As2 As 0.667 0.333 0.728

***

No. 4
# SCAN Al2As, PBEsol geometry
# Magnetic moment   0.0 Bohr magnetons per cell
# DFT total energy   -11.8011 eV/atom
# Formation energy from the elements   0.10 eV per atom
# Space group   I4_1/amd, No. 141
data_Al2As
_cell_length_a 3.335
_cell_length_b 3.335
_cell_length_c 10.266
_cell_angle_alpha 99.35
_cell_angle_beta 99.35
_cell_angle_gamma 90.00
_symmetry_space_group_name_H-M 'P 1'
_symmetry_Int_Tables_number 1
_symmetry_space_group_name_Hall 'P 1'
loop_
_atom_site_label
_atom_site_type_symbol
_atom_site_fract_x
_atom_site_fract_y
_atom_site_fract_z
Al1 Al 0.820 0.320 0.640
Al2 Al 0.680 0.180 0.360
Al3 Al 0.430 0.430 0.860
Al4 Al 0.570 0.570 0.140
As1 As 0.000 0.000 0.000
As2 As 0.250 0.750 0.500

***

No. 5
# SCAN AlAs2, PBEsol geometry
# Magnetic moment   0.0 Bohr magnetons per cell
# DFT total energy   -15.9502 eV/atom
# Formation energy from the elements   0.09 eV per atom
# Space group   P4/mmm, No. 123
data_AlAs2
_cell_length_a 3.706
_cell_length_b 4.015
_cell_length_c 4.015
_cell_angle_alpha 90.00
_cell_angle_beta 90.00
_cell_angle_gamma 90.00
_symmetry_space_group_name_H-M 'P 1'
_symmetry_Int_Tables_number 1
_symmetry_space_group_name_Hall 'P 1'
loop_
_atom_site_label
_atom_site_type_symbol
_atom_site_fract_x
_atom_site_fract_y
_atom_site_fract_z
As1 As 0.500 0.000 0.500
As2 As 0.500 0.500 0.000
Al1 Al 0.000 0.000 0.000

***

No. 6
# SCAN AlAs2, PBEsol geometry
# Magnetic moment   0.0 Bohr magnetons per cell
# DFT total energy   -15.9667 eV/atom
# Formation energy from the elements   0.08 eV per atom
# Space group   I4_1/amd, No. 141
data_AlAs2
_cell_length_a 3.410
_cell_length_b 3.410
_cell_length_c 10.846
_cell_angle_alpha 99.04
_cell_angle_beta 99.04
_cell_angle_gamma 90.00
_symmetry_space_group_name_H-M 'P 1'
_symmetry_Int_Tables_number 1
_symmetry_space_group_name_Hall 'P 1'
loop_
_atom_site_label
_atom_site_type_symbol
_atom_site_fract_x
_atom_site_fract_y
_atom_site_fract_z
As1 As 0.809 0.309 0.618
As2 As 0.441 0.441 0.882
As3 As 0.559 0.559 0.118
As4 As 0.691 0.191 0.382
Al1 Al 0.000 0.000 0.000
Al2 Al 0.250 0.750 0.500